Record 1
The following is a DFT calculation (GGA-PBE) of crystalline GdYZnAu at its relaxed geometry.

Computed properties:
Raw total energy   -6.860 eV per atom

```
4
Lattice="-0.330 -4.983 1.090 2.521 -1.910 4.015 -2.576 -1.546 4.135" Properties=species:S:1:pos:R:3 pbc="T T T"
Y -0.289 -6.329 6.930
Zn -0.193 -4.219 4.620
Gd -0.096 -2.110 2.310
Au 0.000 0.000 0.000
```



Record 2
The following is a DFT calculation (GGA-PBE) of crystalline GdZnAu4 at its relaxed geometry.

Computed properties:
Raw total energy   -5.114 eV per atom

```
6
Lattice="5.562 0.000 0.000 2.781 4.816 0.000 2.781 1.605 4.541" Properties=species:S:1:pos:R:3 pbc="T T T"
Zn 0.000 0.000 0.000
Gd 2.781 1.605 1.135
Au 5.562 3.211 0.562
Au 5.562 1.600 2.840
Au 6.956 4.016 2.840
Au 4.167 4.016 2.840
```



Record 3
The following is a DFT calculation (GGA-PBE) of crystalline Gd2ZnAu at its relaxed geometry.

Computed properties:
Raw total energy   -8.769 eV per atom

```
4
Lattice="-2.366 1.372 -2.427 0.507 -2.918 -2.144 -5.318 -3.345 3.295" Properties=species:S:1:pos:R:3 pbc="T T T"
Zn -0.930 -0.773 -2.285
Gd -4.001 -2.516 2.479
Gd -1.317 -0.828 0.816
Au -3.589 -2.446 -0.638
```



Record 4
The following is a DFT calculation (GGA-PBE) of crystalline GdZn2Au at its relaxed geometry.

Computed properties:
Raw total energy   -5.332 eV per atom

```
4
Lattice="4.572 0.000 0.000 0.000 4.236 0.000 0.000 0.000 4.236" Properties=species:S:1:pos:R:3 pbc="T T T"
Zn 0.000 0.000 2.118
Zn 0.000 2.118 0.000
Gd 2.286 2.118 2.118
Au 2.286 0.000 0.000
```



Record 5
The following is a DFT calculation (GGA-PBE) of crystalline GdZrAu at its relaxed geometry.

Computed properties:
Raw total energy   -9.027 eV per atom

```
3
Lattice="3.451 0.000 0.000 0.000 3.451 0.000 -1.725 -1.725 6.029" Properties=species:S:1:pos:R:3 pbc="T T T"
Gd 0.000 0.000 3.472
Au 1.725 1.725 5.598
Zr 1.725 1.725 1.180
```



Record 6
The following is a DFT calculation (GGA-PBE) of crystalline GdZrAu at its relaxed geometry.

Computed properties:
Raw total energy   -8.875 eV per atom

```
3
Lattice="-0.644 -3.720 -1.346 0.652 -1.683 4.340 -4.304 1.256 -1.412" Properties=species:S:1:pos:R:3 pbc="T T T"
Gd -1.430 -3.184 1.525
Au -2.759 -0.344 0.281
Zr -0.107 -0.620 -0.224
```



no.,volume (Å³ per cell)
1,94.41
2,121.64
3,94.85
4,82.06
5,71.79
6,76.69